Density functional theory data (PBE-GGA) for a relaxed structure of Mn2SbMo.

Cell: 2.9300 2.9300 8.0558 Å, 90.00 90.00 105.27°
Atoms (fractional coordinates):
Mn (0.0000, 0.0000, 0.2295)
Mn (0.0000, 0.0000, 0.7705)
Sb (0.5000, 0.5000, 0.5000)
Mo (0.5000, 0.5000, 0.0000)

Calculated values
As for the space group: No. 65. The total energy comes out at -31.69 eV/f.u. As for the crystal system: orthorhombic. The calculation puts the size of the total moment at 5.49 Bohr magnetons per cell.

***

Density functional theory data (PBE-GGA) for a relaxed structure of Mn2SbMo.

Cell: 3.9327 3.9402 3.9528 Å, 90.00 90.00 90.00°
Atoms (fractional coordinates):
Mn (0.0000, 0.0000, 0.0000)
Mn (0.0000, 0.5000, 0.5000)
Sb (0.5000, 0.0000, 0.5000)
Mo (0.5000, 0.5000, 0.0000)

Calculated values
As for the space group: No. 47. The total energy comes out at -32.59 eV/f.u. As for the crystal system: orthorhombic. The calculation puts the size of the total moment at 4.50 Bohr magnetons per cell.

***

Density functional theory data (PBE-GGA) for a relaxed structure of Mn2SbMo.

Cell: 4.8941 4.8941 4.8941 Å, 136.85 130.26 67.92°
Atoms (fractional coordinates):
Mn (0.0000, 0.0000, 0.0000)
Mn (0.7603, 0.2603, 0.5000)
Sb (0.5106, 0.5106, 0.0000)
Mo (0.2521, 0.7521, 0.5000)

Calculated values
As for the space group: No. 44. The total energy comes out at -32.51 eV/f.u. As for the crystal system: orthorhombic. The calculation puts the size of the total moment at 4.00 Bohr magnetons per cell.

***

Density functional theory data (PBE-GGA) for a relaxed structure of MnSbMo2.

Cell: 8.6560 8.6560 8.6560 Å, 20.01 20.01 20.01°
Atoms (fractional coordinates):
Mn (0.0000, 0.0000, 0.0000)
Sb (0.5000, 0.5000, 0.5000)
Mo (0.2578, 0.2578, 0.2578)
Mo (0.7422, 0.7422, 0.7422)

Calculated values
As for the space group: No. 166. The total energy comes out at -32.93 eV/f.u. As for the crystal system: trigonal. The calculation puts the size of the total moment at 1.02 Bohr magnetons per cell.

***

Density functional theory data (PBE-GGA) for a relaxed structure of Mn2SbMo.

Cell: 4.8944 4.8944 4.8944 Å, 137.66 128.84 68.52°
Atoms (fractional coordinates):
Mn (0.2466, 0.2466, 0.0000)
Mn (0.7534, 0.7534, 0.0000)
Sb (0.5000, 0.0000, 0.5000)
Mo (0.0000, 0.5000, 0.5000)

Calculated values
As for the space group: No. 71. The total energy comes out at -32.35 eV/f.u. As for the crystal system: orthorhombic. The calculation puts the size of the total moment at 3.82 Bohr magnetons per cell.

***

Density functional theory data (PBE-GGA) for a relaxed structure of MnSbMo2.

Cell: 5.1185 5.1185 5.1185 Å, 141.30 128.50 66.24°
Atoms (fractional coordinates):
Mn (0.0000, 0.0000, 0.0000)
Sb (0.7543, 0.2543, 0.5000)
Mo (0.2443, 0.7443, 0.5000)
Mo (0.4921, 0.4921, 0.0000)

Calculated values
As for the space group: No. 44. The total energy comes out at -34.17 eV/f.u. As for the crystal system: orthorhombic. The calculation puts the size of the total moment at 2.42 Bohr magnetons per cell.

***

Density functional theory data (PBE-GGA) for a relaxed structure of MnSbMo2.

Cell: 3.0064 4.2177 5.3400 Å, 90.00 105.59 90.00°
Atoms (fractional coordinates):
Mn (0.0000, 0.0000, 0.0000)
Sb (0.9243, 0.5000, 0.6970)
Mo (0.3052, 0.0000, 0.4317)
Mo (0.6266, 0.5000, 0.1650)

Calculated values
As for the space group: No. 6. The total energy comes out at -33.62 eV/f.u. As for the crystal system: monoclinic. The calculation puts the size of the total moment at 0.00 Bohr magnetons per cell.

***

Density functional theory data (PBE-GGA) for a relaxed structure of MnSbMo2.

Cell: 2.9624 4.1074 5.4292 Å, 90.00 97.21 90.00°
Atoms (fractional coordinates):
Mn (0.0000, 0.0000, 0.0000)
Sb (0.0000, 0.0000, 0.5000)
Mo (0.4266, 0.5000, 0.2217)
Mo (0.5734, 0.5000, 0.7783)

Calculated values
As for the space group: No. 10. The total energy comes out at -33.70 eV/f.u. As for the crystal system: monoclinic. The calculation puts the size of the total moment at 1.58 Bohr magnetons per cell.